[1]
Entry from the Alexandria database: crystalline Zr2CuSb2 at its relaxed geometry (GGA-PBE).

a = 7.517 Å, b = 7.517 Å, c = 3.903 Å
α = 90.00°, β = 90.00°, γ = 90.00°
Positions (direct):
1 Zr 0.148 0.352 0.000
2 Zr 0.352 0.852 0.000
3 Zr 0.648 0.148 0.000
4 Zr 0.852 0.648 0.000
5 Cu 0.000 0.000 0.500
6 Cu 0.500 0.500 0.500
7 Sb 0.154 0.654 0.500
8 Sb 0.346 0.154 0.500
9 Sb 0.654 0.846 0.500
10 Sb 0.846 0.346 0.500

## Properties
Offset from the most stable computed form (eV per atom): 0.009
Total DFT energy (no corrections) (eV for the cell shown): -62.0



[2]
Entry from the Alexandria database: crystalline Zr2Cu2Sb at its relaxed geometry (GGA-PBE).

a = 6.725 Å, b = 6.725 Å, c = 4.076 Å
α = 90.00°, β = 90.00°, γ = 90.00°
Positions (direct):
1 Zr 0.166 0.334 0.000
2 Zr 0.334 0.834 0.000
3 Zr 0.666 0.166 0.000
4 Zr 0.834 0.666 0.000
5 Cu 0.126 0.626 0.500
6 Cu 0.374 0.126 0.500
7 Cu 0.626 0.874 0.500
8 Cu 0.874 0.374 0.500
9 Sb 0.000 0.000 0.500
10 Sb 0.500 0.500 0.500

## Properties
Offset from the most stable computed form (eV per atom): 0.000
Total DFT energy (no corrections) (eV for the cell shown): -62.0



[3]
Entry from the Alexandria database: crystalline ZrCuSb2 at its relaxed geometry (GGA-PBE).

a = 4.985 Å, b = 4.985 Å, c = 4.985 Å
α = 60.00°, β = 60.00°, γ = 60.00°
Positions (direct):
1 Zr 0.000 0.000 0.000
2 Cu 0.500 0.500 0.500
3 Sb 0.250 0.250 0.250
4 Sb 0.750 0.750 0.750

## Properties
Total DFT energy (no corrections) (eV for the cell shown): -20.7



| no. | E_form (uncorrected) (eV per atom) |
| --- | --- |
| 1 | -0.31 |
| 2 | -0.32 |
| 3 | 0.03 |